# 1
! KReHg2, optimized geometry, DFT PBEsol; values from VASP
! - Excess energy over the best structure of this formula in the dataset: 51 meV per atom
! - Total DFT energy (no corrections): -3.143 eV per atom
! - Crystal system: orthorhombic
&SYSTEM
  ibrav = 0, nat = 8, ntyp = 3
/
ATOMIC_SPECIES
K 39.10 K.upf
Re 186.21 Re.upf
Hg 200.59 Hg.upf
CELL_PARAMETERS angstrom
3.519 0.000 0.000
0.000 4.411 0.000
0.000 0.000 10.660
ATOMIC_POSITIONS crystal
K 0.000 0.000 0.000
K 0.500 0.500 0.000
Re 0.000 0.500 0.262
Re 0.500 0.000 0.262
Hg 0.000 0.000 0.476
Hg 0.000 0.500 0.730
Hg 0.500 0.000 0.730
Hg 0.500 0.500 0.476

***

# 2
! AlMo3Pb, optimized geometry, DFT PBEsol; values from VASP
! - Total DFT energy (no corrections): -7.194 eV per atom
! - Crystal system: cubic
&SYSTEM
  ibrav = 0, nat = 5, ntyp = 3
/
ATOMIC_SPECIES
Al 26.98 Al.upf
Mo 95.94 Mo.upf
Pb 207.20 Pb.upf
CELL_PARAMETERS angstrom
4.558 0.000 0.000
0.000 4.558 0.000
0.000 0.000 4.558
ATOMIC_POSITIONS crystal
Al 0.000 0.000 0.000
Mo 0.000 0.000 0.500
Mo 0.000 0.500 0.000
Mo 0.500 0.000 0.000
Pb 0.500 0.500 0.500

***

# 3
! K2SrTc, optimized geometry, DFT PBEsol; values from VASP
! - Excess energy over the best structure of this formula in the dataset: 383 meV per atom
! - Total DFT energy (no corrections): -2.493 eV per atom
! - Crystal system: cubic
&SYSTEM
  ibrav = 0, nat = 16, ntyp = 3
/
ATOMIC_SPECIES
K 39.10 K.upf
Sr 87.62 Sr.upf
Tc 98.00 Tc.upf
CELL_PARAMETERS angstrom
8.346 0.000 0.000
0.000 8.346 0.000
0.000 0.000 8.346
ATOMIC_POSITIONS crystal
K 0.250 0.250 0.250
K 0.250 0.250 0.750
K 0.250 0.750 0.250
K 0.250 0.750 0.750
K 0.750 0.250 0.250
K 0.750 0.250 0.750
K 0.750 0.750 0.250
K 0.750 0.750 0.750
Sr 0.000 0.000 0.000
Sr 0.000 0.500 0.500
Sr 0.500 0.000 0.500
Sr 0.500 0.500 0.000
Tc 0.000 0.000 0.500
Tc 0.000 0.500 0.000
Tc 0.500 0.000 0.000
Tc 0.500 0.500 0.500

***

# 4
! YInSi3, optimized geometry, DFT PBEsol; values from VASP
! - Formation energy (no corrections): 964 meV/atom
! - Total DFT energy (no corrections): -4.445 eV per atom
! - Crystal system: cubic
&SYSTEM
  ibrav = 0, nat = 5, ntyp = 3
/
ATOMIC_SPECIES
Y 88.91 Y.upf
In 114.82 In.upf
Si 28.09 Si.upf
CELL_PARAMETERS angstrom
5.240 0.000 0.000
0.000 5.240 0.000
0.000 0.000 5.240
ATOMIC_POSITIONS crystal
Y 0.000 0.000 0.000
In 0.500 0.500 0.500
Si 0.000 0.000 0.500
Si 0.000 0.500 0.000
Si 0.500 0.000 0.000

***

# 5
! Rb5LiSi2NiO8, optimized geometry, DFT PBEsol; values from VASP
! - Formation energy (no corrections): -2053 meV/atom
! - Total DFT energy (no corrections): -5.979 eV per atom
! - Crystal system: monoclinic
&SYSTEM
  ibrav = 0, nat = 34, ntyp = 5
/
ATOMIC_SPECIES
Rb 85.47 Rb.upf
Li 6.94 Li.upf
Si 28.09 Si.upf
Ni 58.69 Ni.upf
O 16.00 O.upf
CELL_PARAMETERS angstrom
4.318 -5.101 0.000
4.318 5.101 0.000
-2.714 0.000 13.420
ATOMIC_POSITIONS crystal
Rb 0.039 0.408 0.851
Rb 0.133 0.867 0.750
Rb 0.235 0.536 0.428
Rb 0.408 0.039 0.351
Rb 0.464 0.765 0.072
Rb 0.536 0.235 0.928
Rb 0.592 0.961 0.649
Rb 0.765 0.464 0.572
Rb 0.867 0.133 0.250
Rb 0.961 0.592 0.149
Li 0.458 0.542 0.750
Li 0.542 0.458 0.250
Si 0.219 0.280 0.631
Si 0.280 0.219 0.131
Si 0.720 0.781 0.869
Si 0.781 0.720 0.369
Ni 0.000 0.000 0.000
Ni 0.000 0.000 0.500
O 0.023 0.844 0.378
O 0.155 0.271 0.027
O 0.156 0.977 0.122
O 0.244 0.528 0.633
O 0.247 0.361 0.232
O 0.271 0.155 0.527
O 0.361 0.247 0.732
O 0.472 0.756 0.867
O 0.528 0.244 0.133
O 0.639 0.753 0.268
O 0.729 0.845 0.473
O 0.753 0.639 0.768
O 0.756 0.472 0.367
O 0.844 0.023 0.878
O 0.845 0.729 0.973
O 0.977 0.156 0.622

***

# 6
! SrZn3Cr, optimized geometry, DFT PBEsol; values from VASP
! - Total DFT energy (no corrections): -1.878 eV per atom
! - Crystal system: cubic
&SYSTEM
  ibrav = 0, nat = 5, ntyp = 3
/
ATOMIC_SPECIES
Sr 87.62 Sr.upf
Zn 65.41 Zn.upf
Cr 52.00 Cr.upf
CELL_PARAMETERS angstrom
5.588 0.000 0.000
0.000 5.588 0.000
0.000 0.000 5.588
ATOMIC_POSITIONS crystal
Sr 0.000 0.000 0.000
Zn 0.000 0.000 0.500
Zn 0.000 0.500 0.000
Zn 0.500 0.000 0.000
Cr 0.500 0.500 0.500

***

# 7
! BeGaPb2, optimized geometry, DFT PBEsol; values from VASP
! - Total DFT energy (no corrections): -3.361 eV per atom
! - Crystal system: cubic
&SYSTEM
  ibrav = 0, nat = 16, ntyp = 3
/
ATOMIC_SPECIES
Be 9.01 Be.upf
Ga 69.72 Ga.upf
Pb 207.20 Pb.upf
CELL_PARAMETERS angstrom
7.077 0.000 0.000
0.000 7.077 0.000
0.000 0.000 7.077
ATOMIC_POSITIONS crystal
Be 0.000 0.000 0.000
Be 0.000 0.500 0.500
Be 0.500 0.000 0.500
Be 0.500 0.500 0.000
Ga 0.000 0.000 0.500
Ga 0.000 0.500 0.000
Ga 0.500 0.000 0.000
Ga 0.500 0.500 0.500
Pb 0.250 0.250 0.250
Pb 0.250 0.250 0.750
Pb 0.250 0.750 0.250
Pb 0.250 0.750 0.750
Pb 0.750 0.250 0.250
Pb 0.750 0.250 0.750
Pb 0.750 0.750 0.250
Pb 0.750 0.750 0.750

***

# 8
! HgBiB3, optimized geometry, DFT PBEsol; values from VASP
! - Total DFT energy (no corrections): -3.131 eV per atom
! - Crystal system: cubic
&SYSTEM
  ibrav = 0, nat = 5, ntyp = 3
/
ATOMIC_SPECIES
Hg 200.59 Hg.upf
Bi 208.98 Bi.upf
B 10.81 B.upf
CELL_PARAMETERS angstrom
4.420 0.000 0.000
0.000 4.420 0.000
0.000 0.000 4.420
ATOMIC_POSITIONS crystal
Hg 0.000 0.000 0.000
Bi 0.500 0.500 0.500
B 0.000 0.000 0.500
B 0.000 0.500 0.000
B 0.500 0.000 0.000

***

# 9
! TeBr, optimized geometry, DFT PBEsol; values from VASP
! - Formation energy (no corrections): 16 meV/atom
! - Total DFT energy (no corrections): -2.682 eV per atom
! - Crystal system: orthorhombic
&SYSTEM
  ibrav = 0, nat = 8, ntyp = 2
/
ATOMIC_SPECIES
Te 127.60 Te.upf
Br 79.90 Br.upf
CELL_PARAMETERS angstrom
3.798 0.000 0.000
0.000 5.577 0.000
0.000 0.000 10.674
ATOMIC_POSITIONS crystal
Te 0.000 0.250 0.154
Te 0.000 0.750 0.846
Te 0.500 0.250 0.346
Te 0.500 0.750 0.654
Br 0.000 0.250 0.593
Br 0.000 0.750 0.407
Br 0.500 0.250 0.907
Br 0.500 0.750 0.093

***

# 10
! SrMg2, optimized geometry, DFT PBEsol; values from VASP
! - Total DFT energy (no corrections): -1.776 eV per atom
! - Crystal system: orthorhombic
&SYSTEM
  ibrav = 0, nat = 12, ntyp = 2
/
ATOMIC_SPECIES
Sr 87.62 Sr.upf
Mg 24.30 Mg.upf
CELL_PARAMETERS angstrom
4.356 0.000 0.000
0.000 15.619 0.000
0.000 0.000 5.445
ATOMIC_POSITIONS crystal
Sr 0.000 0.084 0.250
Sr 0.000 0.916 0.750
Sr 0.500 0.416 0.750
Sr 0.500 0.584 0.250
Mg 0.000 0.243 0.750
Mg 0.000 0.395 0.250
Mg 0.000 0.605 0.750
Mg 0.000 0.757 0.250
Mg 0.500 0.105 0.750
Mg 0.500 0.257 0.250
Mg 0.500 0.743 0.750
Mg 0.500 0.895 0.250

***

# 11
! LiIn, optimized geometry, DFT PBEsol; values from VASP
! - Total DFT energy (no corrections): -2.720 eV per atom
! - Crystal system: tetragonal
&SYSTEM
  ibrav = 0, nat = 4, ntyp = 2
/
ATOMIC_SPECIES
Li 6.94 Li.upf
In 114.82 In.upf
CELL_PARAMETERS angstrom
3.606 0.000 0.000
0.000 3.606 0.000
0.000 0.000 6.173
ATOMIC_POSITIONS crystal
Li 0.250 0.250 0.126
Li 0.750 0.750 0.874
In 0.250 0.250 0.646
In 0.750 0.750 0.354

***

# 12
! MgNiPt2, optimized geometry, DFT PBEsol; values from VASP
! - Total DFT energy (no corrections): -5.842 eV per atom
! - Crystal system: orthorhombic
&SYSTEM
  ibrav = 0, nat = 4, ntyp = 3
/
ATOMIC_SPECIES
Mg 24.30 Mg.upf
Ni 58.69 Ni.upf
Pt 195.08 Pt.upf
CELL_PARAMETERS angstrom
2.782 0.000 0.000
0.000 3.613 0.000
0.000 0.000 5.581
ATOMIC_POSITIONS crystal
Mg 0.000 0.000 0.000
Ni 0.000 0.000 0.500
Pt 0.500 0.500 0.261
Pt 0.500 0.500 0.739

***

# 13
! ZrHgW, optimized geometry, DFT PBEsol; values from VASP
! - Excess energy over the best structure of this formula in the dataset: 94 meV per atom
! - Total DFT energy (no corrections): -7.508 eV per atom
! - Crystal system: orthorhombic
&SYSTEM
  ibrav = 0, nat = 6, ntyp = 3
/
ATOMIC_SPECIES
Zr 91.22 Zr.upf
Hg 200.59 Hg.upf
W 183.84 W.upf
CELL_PARAMETERS angstrom
3.188 0.000 0.000
0.000 3.773 0.000
0.000 0.000 9.386
ATOMIC_POSITIONS crystal
Zr 0.000 0.000 0.000
Zr 0.500 0.500 0.500
Hg 0.000 0.000 0.679
Hg 0.500 0.500 0.179
W 0.000 0.000 0.342
W 0.500 0.500 0.842

***

# 14
! BeReSbTe2, optimized geometry, DFT PBEsol; values from VASP
! - Formation energy (no corrections): 1190 meV/atom
! - Total DFT energy (no corrections): -4.598 eV per atom
! - Crystal system: tetragonal
&SYSTEM
  ibrav = 0, nat = 5, ntyp = 4
/
ATOMIC_SPECIES
Be 9.01 Be.upf
Re 186.21 Re.upf
Sb 121.76 Sb.upf
Te 127.60 Te.upf
CELL_PARAMETERS angstrom
5.200 0.000 0.000
0.000 5.200 0.000
0.000 0.000 5.101
ATOMIC_POSITIONS crystal
Be 0.000 0.000 0.000
Re 0.500 0.500 0.500
Sb 0.500 0.500 0.000
Te 0.000 0.500 0.500
Te 0.500 0.000 0.500